P | Entry from Alexandria via LeMat-Bulk: an optimized crystal structure of Mg3Ga4Pd2 (PBE).

abc: 4.540 5.434 8.054
angles: 116.96 90.00 114.70
Fractional positions:
Mg: 0.664 0.327 0.669
Mg: 0.000 0.000 0.000
Mg: 0.336 0.673 0.331
Ga: 0.697 0.394 0.034
Ga: 0.303 0.606 0.966
Ga: 0.920 0.841 0.592
Ga: 0.080 0.159 0.408
Pd: 0.610 0.220 0.281
Pd: 0.390 0.780 0.719


Q | Entry from Alexandria via LeMat-Bulk: an optimized crystal structure of Mg3Ga4Pd2 (PBE).

abc: 4.403 5.337 8.060
angles: 65.62 74.27 66.57
Fractional positions:
Mg: 0.539 0.239 0.680
Mg: 0.000 0.000 0.000
Mg: 0.461 0.761 0.320
Ga: 0.310 0.324 0.054
Ga: 0.860 0.727 0.560
Ga: 0.140 0.273 0.440
Ga: 0.690 0.676 0.946
Pd: 0.748 0.228 0.268
Pd: 0.252 0.772 0.732


Decreasing stability: P, Q


P | Entry from Alexandria via LeMat-Bulk: an optimized crystal structure of MgGa4Pd2 (PBE).

abc: 4.930 4.930 7.298
angles: 70.26 70.26 90.00
Fractional positions:
Mg: 0.000 0.000 0.000
Ga: 0.210 0.210 0.581
Ga: 0.790 0.790 0.419
Ga: 0.000 0.500 0.000
Ga: 0.500 0.000 0.000
Pd: 0.398 0.398 0.205
Pd: 0.602 0.602 0.795


Q | Entry from Alexandria via LeMat-Bulk: an optimized crystal structure of MgGa4Pd2 (PBE).

abc: 3.144 8.797 8.797
angles: 90.00 90.00 90.00
Fractional positions:
Mg: 0.500 0.000 0.000
Mg: 0.000 0.500 0.500
Ga: 0.000 0.073 0.311
Ga: 0.000 0.927 0.689
Ga: 0.500 0.189 0.573
Ga: 0.500 0.811 0.427
Ga: 0.500 0.427 0.811
Ga: 0.500 0.573 0.189
Ga: 0.000 0.311 0.073
Ga: 0.000 0.689 0.927
Pd: 0.000 0.189 0.811
Pd: 0.000 0.811 0.189
Pd: 0.500 0.689 0.689
Pd: 0.500 0.311 0.311


Decreasing stability: Q, P


P | Entry from Alexandria via LeMat-Bulk: an optimized crystal structure of Mg6GaPd (PBE).

abc: 6.126 6.148 6.157
angles: 60.05 76.58 62.30
Fractional positions:
Mg: 0.752 0.445 0.591
Mg: 0.752 0.036 0.409
Mg: 0.248 0.964 0.591
Mg: 0.248 0.555 0.409
Mg: 0.757 0.756 0.000
Mg: 0.243 0.244 0.000
Ga: 0.500 0.500 0.000
Pd: 0.000 0.000 0.000


Q | Entry from Alexandria via LeMat-Bulk: an optimized crystal structure of Mg6GaPd (PBE).

abc: 4.498 4.498 8.552
angles: 74.76 74.75 90.00
Fractional positions:
Mg: 0.750 0.750 0.500
Mg: 0.607 0.107 0.787
Mg: 0.107 0.607 0.787
Mg: 0.393 0.893 0.213
Mg: 0.250 0.250 0.500
Mg: 0.893 0.393 0.213
Ga: 0.500 0.500 0.000
Pd: 0.000 0.000 0.000


Decreasing stability: Q, P


P | Entry from Alexandria via LeMat-Bulk: an optimized crystal structure of MgGa3Pd3 (PBE).

abc: 7.425 7.425 6.720
angles: 56.46 56.46 60.00
Fractional positions:
Mg: 0.334 0.334 0.998
Mg: 0.666 0.666 0.002
Ga: 0.460 0.768 0.655
Ga: 0.768 0.116 0.655
Ga: 0.116 0.460 0.655
Ga: 0.884 0.540 0.345
Ga: 0.232 0.884 0.345
Ga: 0.540 0.232 0.345
Pd: 0.256 0.631 0.167
Pd: 0.946 0.256 0.167
Pd: 0.631 0.946 0.167
Pd: 0.369 0.054 0.833
Pd: 0.054 0.744 0.833
Pd: 0.744 0.369 0.833


Q | Entry from Alexandria via LeMat-Bulk: an optimized crystal structure of MgGa3Pd3 (PBE).

abc: 6.858 6.858 6.858
angles: 90.00 90.00 90.00
Fractional positions:
Mg: 0.500 0.500 0.500
Mg: 0.000 0.000 0.000
Ga: 0.000 0.250 0.500
Ga: 0.000 0.750 0.500
Ga: 0.500 0.000 0.750
Ga: 0.750 0.500 0.000
Ga: 0.500 0.000 0.250
Ga: 0.250 0.500 0.000
Pd: 0.250 0.000 0.500
Pd: 0.000 0.500 0.250
Pd: 0.500 0.750 0.000
Pd: 0.750 0.000 0.500
Pd: 0.000 0.500 0.750
Pd: 0.500 0.250 0.000


Decreasing stability: P, Q


P | Entry from Alexandria via LeMat-Bulk: an optimized crystal structure of MgGa2Pd4 (PBE).

abc: 5.654 7.050 6.937
angles: 111.97 104.00 109.26
Fractional positions:
Mg: 0.306 0.705 0.514
Mg: 0.043 0.944 0.985
Ga: 0.505 0.442 0.732
Ga: 0.744 0.885 0.382
Ga: 0.617 0.255 0.118
Ga: 0.025 0.464 0.771
Pd: 0.031 0.247 0.368
Pd: 0.332 0.469 0.116
Pd: 0.775 0.596 0.525
Pd: 0.770 0.118 0.800
Pd: 0.466 0.104 0.382
Pd: 0.218 0.064 0.697
Pd: 0.502 0.822 0.974
Pd: 0.916 0.635 0.136


Q | Entry from Alexandria via LeMat-Bulk: an optimized crystal structure of MgGa2Pd4 (PBE).

abc: 4.628 4.628 7.081
angles: 70.93 70.93 90.00
Fractional positions:
Mg: 0.000 0.000 0.000
Ga: 0.391 0.391 0.219
Ga: 0.609 0.609 0.781
Pd: 0.200 0.200 0.600
Pd: 0.800 0.800 0.400
Pd: 0.000 0.500 0.000
Pd: 0.500 0.000 0.000


Decreasing stability: P, Q


P | Entry from Alexandria via LeMat-Bulk: an optimized crystal structure of Mg2Ga2Pd (PBE).

abc: 5.593 5.709 7.270
angles: 113.12 112.62 90.00
Fractional positions:
Mg: 0.895 0.740 0.790
Mg: 0.105 0.260 0.210
Mg: 0.605 0.950 0.210
Mg: 0.395 0.050 0.790
Ga: 0.331 0.488 0.662
Ga: 0.669 0.512 0.338
Ga: 0.169 0.826 0.338
Ga: 0.831 0.174 0.662
Pd: 0.750 0.500 0.000
Pd: 0.250 0.500 0.000


Q | Entry from Alexandria via LeMat-Bulk: an optimized crystal structure of Mg2Ga2Pd (PBE).

abc: 6.899 6.899 4.055
angles: 90.00 90.00 90.00
Fractional positions:
Mg: 0.347 0.847 0.000
Mg: 0.847 0.653 0.000
Mg: 0.653 0.153 0.000
Mg: 0.153 0.347 0.000
Ga: 0.155 0.655 0.500
Ga: 0.655 0.845 0.500
Ga: 0.845 0.345 0.500
Ga: 0.345 0.155 0.500
Pd: 0.000 0.000 0.000
Pd: 0.500 0.500 0.000


Decreasing stability: P, Q